# 1
Computed, not measured: a relaxed structure of ReSbAs2 at the PBE-GGA level of DFT.

Structure (CIF):
```
data_ReSbAs2
_chemical_formula_sum 'Re2 Sb2 As4'
_space_group_name_H-M_alt 'I m m 2'
_space_group_IT_number 44
_cell_length_a 3.138
_cell_length_b 4.061
_cell_length_c 13.147
_cell_angle_alpha 90.00
_cell_angle_beta 90.00
_cell_angle_gamma 90.00
loop_
_space_group_symop_operation_xyz
'x,y,z'
'-x,-y,z'
'-x,y,z'
'x,-y,z'
'x+1/2,y+1/2,z+1/2'
'-x+1/2,-y+1/2,z+1/2'
'-x+1/2,y+1/2,z+1/2'
'x+1/2,-y+1/2,z+1/2'
loop_
_atom_site_label
_atom_site_type_symbol
_atom_site_fract_x
_atom_site_fract_y
_atom_site_fract_z
Re1 Re 0.000 0.000 0.000
Sb1 Sb 0.000 0.500 0.299
As1 As 0.000 0.000 0.455
As2 As 0.000 0.500 0.648
```

Properties
The value obtained for the total moment is 0.0 μB/cell. The calculation puts the uncorrected formation energy at 365 meV/atom.

---

# 2
Computed, not measured: a relaxed structure of Dy7Al2Cu2 at the PBE-GGA level of DFT.

Structure (CIF):
```
data_Dy7Al2Cu2
_chemical_formula_sum 'Dy14 Al4 Cu4'
_space_group_name_H-M_alt 'C m m m'
_space_group_IT_number 65
_space_group_name_Hall '-C 2 2'
_cell_length_a 7.815
_cell_length_b 10.989
_cell_length_c 6.926
_cell_angle_alpha 90.00
_cell_angle_beta 90.00
_cell_angle_gamma 90.00
loop_
_atom_site_label
_atom_site_type_symbol
_atom_site_fract_x
_atom_site_fract_y
_atom_site_fract_z
Dy1 Dy 0.000 0.000 0.000
Dy2 Dy 0.000 0.500 0.251
Dy3 Dy 0.250 0.250 0.262
Al1 Al 0.166 0.000 0.500
Cu1 Cu 0.000 0.296 0.000
```

Properties
As for the energy of formation: -0.0299 eV per atom. The value obtained for the total moment is 0.0 μB/cell.

---

# 3
Computed, not measured: a relaxed structure of BaTaRe2Br at the PBE-GGA level of DFT.

Structure (CIF):
```
data_BaTaRe2Br
_chemical_formula_sum 'Ba1 Ta1 Re2 Br1'
_space_group_name_H-M_alt 'P 4/m m m'
_space_group_IT_number 123
_space_group_name_Hall '-P 4 2'
_cell_length_a 5.178
_cell_length_b 5.178
_cell_length_c 5.405
_cell_angle_alpha 90.00
_cell_angle_beta 90.00
_cell_angle_gamma 90.00
loop_
_atom_site_label
_atom_site_type_symbol
_atom_site_fract_x
_atom_site_fract_y
_atom_site_fract_z
Ba1 Ba 0.000 0.000 0.000
Ta1 Ta 0.000 0.000 0.500
Re1 Re 0.000 0.500 0.000
Br1 Br 0.500 0.500 0.500
```

Properties
The value obtained for the total moment is 3.3 μB/cell. The calculation puts the uncorrected formation energy at 3656 meV/atom.

---

# 4
Computed, not measured: a relaxed structure of FeCu2Pt at the PBE-GGA level of DFT.

Structure (CIF):
```
data_FeCu2Pt
_chemical_formula_sum 'Fe3 Cu6 Pt3'
_space_group_name_H-M_alt 'R -3 m'
_space_group_IT_number 166
_space_group_name_Hall '-R 3 2"'
_cell_length_a 2.6683
_cell_length_b 2.6683
_cell_length_c 25.5847
_cell_angle_alpha 90.00
_cell_angle_beta 90.00
_cell_angle_gamma 120.00
loop_
_atom_site_label
_atom_site_type_symbol
_atom_site_fract_x
_atom_site_fract_y
_atom_site_fract_z
Fe1 Fe 0.0000 0.0000 0.0000
Cu1 Cu 0.0000 0.0000 0.2528
Pt1 Pt 0.0000 0.0000 0.5000
```

Properties
As for the energy of formation: -0.0042 eV per atom. The value obtained for the total moment is 7.9 μB/cell.

---

# 5
Computed, not measured: a relaxed structure of TaAg2Se at the PBE-GGA level of DFT.

Structure (CIF):
```
data_TaAg2Se
_chemical_formula_sum 'Ta2 Ag4 Se2'
_space_group_name_H-M_alt 'I 4/m m m'
_space_group_IT_number 139
_space_group_name_Hall '-I 4 2'
_cell_length_a 3.792
_cell_length_b 3.792
_cell_length_c 10.322
_cell_angle_alpha 90.00
_cell_angle_beta 90.00
_cell_angle_gamma 90.00
loop_
_atom_site_label
_atom_site_type_symbol
_atom_site_fract_x
_atom_site_fract_y
_atom_site_fract_z
Ta1 Ta 0.000 0.000 0.000
Ag1 Ag 0.000 0.500 0.250
Se1 Se 0.000 0.000 0.500
```

Properties
The value obtained for the total moment is 0.0 μB/cell. The calculation puts the uncorrected formation energy at 392 meV/atom.

---

# 6
Computed, not measured: a relaxed structure of Ba2CeInS5 at the PBE-GGA level of DFT.

Structure (CIF):
```
data_Ba2CeInS5
_chemical_formula_sum 'Ba8 Ce4 In4 S20'
_space_group_name_H-M_alt 'C m c 21'
_space_group_IT_number 36
_cell_length_a 4.264
_cell_length_b 18.421
_cell_length_c 12.987
_cell_angle_alpha 90.00
_cell_angle_beta 90.00
_cell_angle_gamma 90.00
loop_
_space_group_symop_operation_xyz
'x,y,z'
'-x,-y,z+1/2'
'-x,y,z'
'x,-y,z+1/2'
'x+1/2,y+1/2,z'
'-x+1/2,-y+1/2,z+1/2'
'-x+1/2,y+1/2,z'
'x+1/2,-y+1/2,z+1/2'
loop_
_atom_site_label
_atom_site_type_symbol
_atom_site_fract_x
_atom_site_fract_y
_atom_site_fract_z
Ba1 Ba 0.000 0.114 0.000
Ba2 Ba 0.000 0.130 0.632
Ce1 Ce 0.000 0.210 0.336
In1 In 0.000 0.451 0.762
S1 S 0.000 0.049 0.368
S2 S 0.000 0.289 0.978
S3 S 0.000 0.316 0.690
S4 S 0.000 0.358 0.319
S5 S 0.000 0.496 0.090
```

Properties
The value obtained for the total moment is 3.5 μB/cell. The calculation puts the uncorrected formation energy at -1675 meV/atom.

---

# 7
Computed, not measured: a relaxed structure of Sr2InPtAu6 at the PBE-GGA level of DFT.

Structure (CIF):
```
data_Sr2InPtAu6
_chemical_formula_sum 'Sr8 In4 Pt4 Au24'
_space_group_name_H-M_alt 'F m -3 m'
_space_group_IT_number 225
_space_group_name_Hall '-F 4 2 3'
_cell_length_a 10.392
_cell_length_b 10.392
_cell_length_c 10.392
_cell_angle_alpha 90.00
_cell_angle_beta 90.00
_cell_angle_gamma 90.00
loop_
_atom_site_label
_atom_site_type_symbol
_atom_site_fract_x
_atom_site_fract_y
_atom_site_fract_z
Sr1 Sr 0.250 0.250 0.250
In1 In 0.000 0.000 0.000
Pt1 Pt 0.000 0.000 0.500
Au1 Au 0.000 0.000 0.252
```

Properties
As for the energy of formation: -0.2476 eV per atom. The value obtained for the total moment is 0.0 μB/cell.

---

# 8
Computed, not measured: a relaxed structure of SmCdPb at the PBE-GGA level of DFT.

Structure (CIF):
```
data_SmCdPb
_chemical_formula_sum 'Sm2 Cd2 Pb2'
_space_group_name_H-M_alt 'I 4 m m'
_space_group_IT_number 107
_space_group_name_Hall 'I 4 -2'
_cell_length_a 3.682
_cell_length_b 3.682
_cell_length_c 12.420
_cell_angle_alpha 90.00
_cell_angle_beta 90.00
_cell_angle_gamma 90.00
loop_
_atom_site_label
_atom_site_type_symbol
_atom_site_fract_x
_atom_site_fract_y
_atom_site_fract_z
Sm1 Sm 0.000 0.000 0.000
Cd1 Cd 0.000 0.000 0.662
Pb1 Pb 0.000 0.000 0.315
```

Properties
As for the energy of formation: -0.2513 eV per atom. The value obtained for the total moment is 0.0 μB/cell.

---

# 9
Computed, not measured: a relaxed structure of LiNi3Os at the PBE-GGA level of DFT.

Structure (CIF):
```
data_LiNi3Os
_chemical_formula_sum 'Li2 Ni6 Os2'
_space_group_name_H-M_alt 'P -1'
_space_group_IT_number 2
_cell_length_a 2.572
_cell_length_b 5.903
_cell_length_c 8.400
_cell_angle_alpha 73.00
_cell_angle_beta 82.04
_cell_angle_gamma 77.52
loop_
_space_group_symop_operation_xyz
'x,y,z'
'-x,-y,-z'
loop_
_atom_site_label
_atom_site_type_symbol
_atom_site_fract_x
_atom_site_fract_y
_atom_site_fract_z
Li1 Li 0.033 0.199 0.447
Ni1 Ni 0.013 0.614 0.847
Ni2 Ni 0.313 0.580 0.357
Ni3 Ni 0.352 0.022 0.744
Os1 Os 0.329 0.793 0.053
```

Properties
As for the energy of formation: 0.1030 eV per atom. The calculation puts the distance to the lowest polymorph of the same formula at 0 meV/atom. The value obtained for the total moment is 0.0 μB/cell.

---

# 10
Computed, not measured: a relaxed structure of Tm2Fe5Si4 at the PBE-GGA level of DFT.

Structure (CIF):
```
data_Tm2Fe5Si4
_chemical_formula_sum 'Tm8 Fe20 Si16'
_space_group_name_H-M_alt 'F m m m'
_space_group_IT_number 69
_space_group_name_Hall '-F 2 2'
_cell_length_a 5.365
_cell_length_b 9.201
_cell_length_c 12.964
_cell_angle_alpha 90.00
_cell_angle_beta 90.00
_cell_angle_gamma 90.00
loop_
_atom_site_label
_atom_site_type_symbol
_atom_site_fract_x
_atom_site_fract_y
_atom_site_fract_z
Tm1 Tm 0.000 0.000 0.133
Fe1 Fe 0.000 0.000 0.500
Fe2 Fe 0.250 0.250 0.000
Fe3 Fe 0.250 0.250 0.250
Si1 Si 0.000 0.146 0.364
```

Properties
The value obtained for the total moment is 10.2 μB/cell. The calculation puts the uncorrected formation energy at -536 meV/atom.